Record 1
CaVP3 | GGA-PBE | relaxed

Cell and atoms, written as POSCAR:
```
CaVP3
1.0
-3.081 -3.925 -0.684
3.973 -3.092 -0.152
-0.301 -0.632 4.988
P V Ca
3 1 1
direct
0.500 0.000 0.000 P
0.000 0.500 0.000 P
0.000 0.000 0.500 P
0.500 0.500 0.500 V
0.000 0.000 0.000 Ca
```

Values from the calculation:
Formation energy (eV per atom): 1.328
Size of the total moment (μB per cell): 3.1
ΔE to the lowest computed polymorph (eV per atom): 1.687

Record 2
Ca2VP | GGA-PBE | relaxed

Cell and atoms, written as POSCAR:
```
Ca2VP
1.0
10.481 0.000 0.000
0.000 10.481 0.000
5.240 5.240 2.311
Ca P V
4 2 2
direct
0.875 0.715 0.750 Ca
0.375 0.535 0.750 Ca
0.465 0.125 0.250 Ca
0.285 0.625 0.250 Ca
0.500 0.500 0.000 P
0.250 0.750 0.500 P
0.750 0.250 0.500 V
0.000 0.000 0.000 V
```

Values from the calculation:
Formation energy (eV per atom): -0.125
Size of the total moment (μB per cell): 6.7

Record 3
CaVP2 | GGA-PBE | relaxed

Cell and atoms, written as POSCAR:
```
CaVP2
1.0
-1.713 2.076 -1.971
-3.328 -0.187 -0.127
-2.247 6.305 5.771
Ca P V
1 2 1
direct
0.000 0.000 0.000 Ca
0.891 0.891 0.328 P
0.109 0.109 0.672 P
0.500 0.500 0.500 V
```

Values from the calculation:
Formation energy (eV per atom): -0.129
Size of the total moment (μB per cell): 0.6
ΔE to the lowest computed polymorph (eV per atom): 0.378

Record 4
Ca3VP | GGA-PBE | relaxed

Cell and atoms, written as POSCAR:
```
Ca3VP
1.0
-2.436 -1.244 4.746
-3.670 -3.055 -2.684
3.257 -4.373 0.525
Ca P V
3 1 1
direct
0.500 0.000 0.000 Ca
0.000 0.000 0.500 Ca
0.000 0.500 0.000 Ca
0.000 0.000 0.000 P
0.500 0.500 0.500 V
```

Values from the calculation:
Formation energy (eV per atom): 0.002
Size of the total moment (μB per cell): 5.6
ΔE to the lowest computed polymorph (eV per atom): 0.000

Record 5
CaV3P | GGA-PBE | relaxed

Cell and atoms, written as POSCAR:
```
CaV3P
1.0
-2.241 3.153 2.336
2.228 -1.192 3.746
3.230 3.010 -0.964
V Ca P
3 1 1
direct
0.500 0.000 0.000 V
0.000 0.500 0.000 V
0.000 0.000 0.500 V
0.500 0.500 0.500 Ca
0.000 0.000 0.000 P
```

Values from the calculation:
Formation energy (eV per atom): 0.276
Size of the total moment (μB per cell): 2.8
ΔE to the lowest computed polymorph (eV per atom): 0.000

Record 6
CaV3P | GGA-PBE | relaxed

Cell and atoms, written as POSCAR:
```
CaV3P
1.0
-1.202 -2.274 3.544
-0.990 -3.430 -2.536
4.093 -1.498 0.427
V Ca P
3 1 1
direct
0.000 0.500 0.000 V
0.500 0.000 0.000 V
0.000 0.000 0.500 V
0.000 0.000 0.000 Ca
0.500 0.500 0.500 P
```

Values from the calculation:
Formation energy (eV per atom): 2.264
Size of the total moment (μB per cell): 0.0
ΔE to the lowest computed polymorph (eV per atom): 1.988

Record 7
Ca3VP | GGA-PBE | relaxed

Cell and atoms, written as POSCAR:
```
Ca3VP
1.0
-3.766 1.668 -3.736
-2.942 -4.633 0.898
-2.843 2.584 4.020
Ca P V
3 1 1
direct
0.000 0.000 0.500 Ca
0.500 0.000 0.000 Ca
0.000 0.500 0.000 Ca
0.500 0.500 0.500 P
0.000 0.000 0.000 V
```

Values from the calculation:
Formation energy (eV per atom): 0.776
Size of the total moment (μB per cell): 5.7
ΔE to the lowest computed polymorph (eV per atom): 0.774

Record 8
Ca2PW | GGA-PBE | relaxed

Cell and atoms, written as POSCAR:
```
Ca2PW
1.0
5.430 -0.015 0.000
2.033 5.035 0.000
-3.732 -2.510 3.043
P W Ca
1 1 2
direct
0.500 0.500 0.000 P
0.750 0.250 0.500 W
0.250 0.750 0.500 Ca
0.000 0.000 0.000 Ca
```

Values from the calculation:
Formation energy (eV per atom): 0.584
Size of the total moment (μB per cell): 0.0
ΔE to the lowest computed polymorph (eV per atom): 0.676

Record 9
Ca3PW | GGA-PBE | relaxed

Cell and atoms, written as POSCAR:
```
Ca3PW
1.0
5.434 0.000 0.000
0.000 5.434 0.000
0.000 0.000 5.434
Ca P W
3 1 1
direct
0.500 0.000 0.000 Ca
0.000 0.000 0.500 Ca
0.000 0.500 0.000 Ca
0.000 0.000 0.000 P
0.500 0.500 0.500 W
```

Values from the calculation:
Formation energy (eV per atom): 0.503
Size of the total moment (μB per cell): 5.0
ΔE to the lowest computed polymorph (eV per atom): 0.000

Record 10
Ca2PW | GGA-PBE | relaxed

Cell and atoms, written as POSCAR:
```
Ca2PW
1.0
8.611 0.012 0.001
7.965 3.273 0.001
0.787 0.156 3.597
Ca W P
2 1 1
direct
0.097 0.097 0.903 Ca
0.403 0.403 0.597 Ca
0.250 0.250 0.250 W
0.750 0.750 0.750 P
```

Values from the calculation:
Formation energy (eV per atom): 0.073
Size of the total moment (μB per cell): 0.0
ΔE to the lowest computed polymorph (eV per atom): 0.166

Record 11
Ca2PW | GGA-PBE | relaxed

Cell and atoms, written as POSCAR:
```
Ca2PW
1.0
-1.292 -2.251 4.344
-2.580 2.572 3.513
-4.845 -1.135 0.918
P Ca W
1 2 1
direct
0.000 0.000 0.000 P
0.250 0.250 0.250 Ca
0.750 0.750 0.750 Ca
0.500 0.500 0.500 W
```

Values from the calculation:
Formation energy (eV per atom): 0.693
Size of the total moment (μB per cell): 3.1
ΔE to the lowest computed polymorph (eV per atom): 0.785

Record 12
Ca2PW | GGA-PBE | relaxed

Cell and atoms, written as POSCAR:
```
Ca2PW
1.0
-2.784 -2.345 -1.414
2.687 -1.952 -2.053
0.733 -3.400 4.193
Ca P W
2 1 1
direct
0.000 0.000 0.493 Ca
0.000 0.000 0.007 Ca
0.500 0.500 0.250 P
0.500 0.500 0.750 W
```

Values from the calculation:
Formation energy (eV per atom): 0.412
Size of the total moment (μB per cell): 0.0
ΔE to the lowest computed polymorph (eV per atom): 0.505

> Which of these has the highest formation energy?

number 6